# SmDy5Tm2Sc

SmDy5Tm2Sc after structural relaxation (PBE-GGA, Alexandria via LeMat-Bulk).

Geometry as POSCAR:
```
SmDy5Tm2Sc
1.0
2.764 -9.850 0.000
2.764 9.850 0.000
0.000 0.000 10.348
Sm Dy Tm Sc
2 10 4 2
Direct
0.088 0.912 0.500
0.912 0.088 0.000
0.019 0.981 0.786
0.122 0.878 0.067
0.201 0.799 0.752
0.223 0.777 0.367
0.482 0.518 0.065
0.518 0.482 0.565
0.777 0.223 0.867
0.799 0.201 0.252
0.878 0.122 0.567
0.981 0.019 0.286
0.386 0.614 0.783
0.388 0.612 0.359
0.612 0.388 0.859
0.614 0.386 0.283
0.304 0.696 0.061
0.696 0.304 0.561
```

---

# LaTbCeNd2

LaTbCeNd2 after structural relaxation (PBE-GGA, Alexandria via LeMat-Bulk).

Geometry as POSCAR:
```
LaTbCeNd2
1.0
8.598 0.000 0.000
0.000 6.371 0.000
-0.431 0.000 6.270
La Tb Ce Nd
2 2 2 4
Direct
0.000 0.000 0.000
0.000 0.000 0.500
0.500 0.173 0.250
0.500 0.827 0.750
0.000 0.458 0.250
0.000 0.542 0.750
0.308 0.311 0.729
0.308 0.689 0.229
0.692 0.311 0.771
0.692 0.689 0.271
```

---

| no. | formation enthalpy at 0 K (eV per atom) |
| --- | --- |
| 1 | 0.173 |
| 2 | 0.258 |